Below is crystalline NaVGaO4 at its relaxed geometry, with properties calculated at the PBE with a Hubbard U level.

The space group is P2_1/m (No. 11) and the conventional cell measures 5.399, 5.457 and 6.822 Å, with angles of 90.00, 110.81 and 90.00 degrees. Symmetry generates all atoms from Na at (0.068, 0.250, 0.141), V at (0.152, 0.750, 0.472), Ga at (0.432, 0.250, 0.676), O at (0.168, 0.015, 0.669), O at (0.205, 0.750, 0.200) and O at (0.471, 0.250, 0.413).

The calculation puts the volume at 188 Å³ per cell. The size of the total moment is 2.00 μB per cell. The total energy is -6.280 eV per atom.